Record 1
The following is a DFT calculation (GGA-PBEsol) of crystalline SrZrAs2Ir at its relaxed geometry.

Output
Density of states at the Fermi level = 4.582 states/eV/cell
Total magnetic moment = 1.32 μB per formula unit
Formation enthalpy at 0 K = 0.14 eV per atom

a b c (Å): 5.0137 5.0137 4.9368
angles (deg): 90.00 90.00 90.00
With the nearest neighbours (Å) after each atom.
Space group P4/mmm (No. 123)
Symmetry-distinct sites (fractional):
Sr 0.0000 0.0000 0.0000  8 As 3.52, 4 Zr 3.55
Zr 0.5000 0.5000 0.0000  2 Ir 2.47
As 0.0000 0.5000 0.5000  2 Ir 2.51
Ir 0.5000 0.5000 0.5000  2 Zr 2.47, 4 As 2.51

Record 2
The following is a DFT calculation (GGA-PBEsol) of crystalline Ta2AsIr at its relaxed geometry.

Output
Density of states at the Fermi level = 4.499 states/eV/cell
Total magnetic moment = 0.00 μB per formula unit
Formation enthalpy at 0 K = -0.27 eV per atom

a b c (Å): 5.7809 7.4728 3.0077
angles (deg): 90.00 98.68 90.00
With the nearest neighbours (Å) after each atom.
Space group C2/m (No. 12)
Symmetry-distinct sites (fractional):
Ta 0.2500 0.2500 0.0000  4 Ir 2.68-2.91, 4 As 2.68-2.91, 2 Ta 2.89
As 0.0000 0.0000 0.5000  8 Ta 2.68-2.91, 2 Ir 2.89
Ir 0.0000 0.5000 0.5000  8 Ta 2.68-2.91, 2 As 2.89